DFT (GGA-PBE) results for ZrCu2 after structural relaxation.

Properties
E_form = 0.16 eV per atom

```
data_ZrCu2
_chemical_formula_sum 'Zr1 Cu2'
_symmetry_space_group_name_H-M 'P -3 m 1'
_symmetry_Int_Tables_number 164
_symmetry_space_group_name_Hall '-P 3 2"'
_cell_length_a 2.9381
_cell_length_b 2.9381
_cell_length_c 6.4728
_cell_angle_alpha 90.00
_cell_angle_beta 90.00
_cell_angle_gamma 120.00
loop_
_atom_site_label
_atom_site_type_symbol
_atom_site_fract_x
_atom_site_fract_y
_atom_site_fract_z
_atom_site_occupancy
Zr1 Zr 0.0000 0.0000 0.0000 1
Cu1 Cu 0.3333 0.6667 0.6436 1
```

DFT (GGA-PBE) results for Zr7Cu10 after structural relaxation.

Properties
E_form = -0.17 eV per atom

```
data_Zr7Cu10
_chemical_formula_sum 'Zr28 Cu40'
_symmetry_space_group_name_H-M 'C m c e'
_symmetry_Int_Tables_number 64
_symmetry_space_group_name_Hall '-C 2ac 2'
_cell_length_a 12.733
_cell_length_b 9.368
_cell_length_c 9.408
_cell_angle_alpha 90.00
_cell_angle_beta 90.00
_cell_angle_gamma 90.00
loop_
_atom_site_label
_atom_site_type_symbol
_atom_site_fract_x
_atom_site_fract_y
_atom_site_fract_z
_atom_site_occupancy
Zr1 Zr 0.000 0.000 0.000 1
Zr2 Zr 0.000 0.190 0.305 1
Zr3 Zr 0.189 0.000 0.500 1
Zr4 Zr 0.250 0.233 0.250 1
Cu1 Cu 0.000 0.106 0.601 1
Cu2 Cu 0.145 0.021 0.796 1
Cu3 Cu 0.146 0.204 0.008 1
```

Number 1: raw total energy -16.26 eV per formula unit. Number 2: raw total energy -103.63 eV per formula unit.